[1]
The following is a DFT calculation (PBE) of crystalline TmTcSn at its relaxed geometry.

Output
symmetry: I4mm, No. 107
energy relative to the elements: -0.2771 eV per atom
ΔE to the lowest computed polymorph: 0.0000 eV/atom
total magnetization: 0.0 μB per cell

a = 3.5127 Å, b = 3.5127 Å, c = 5.5977 Å
α = 108.29°, β = 108.29°, γ = 90.00°
Last column: nearest neighbours and their distance in Å.
Positions (direct):
Tc (0.6782, 0.6782, 0.3564)  4 Sn 2.82, 4 Tm 3.00
Tm (0.0103, 0.0103, 0.0206)  5 Tc 3.00-3.33, 5 Sn 3.02-3.19
Sn (0.3115, 0.3115, 0.6230)  4 Tc 2.82, 1 Tm 3.02

***

[2]
The following is a DFT calculation (PBE) of crystalline TmTcSn2 at its relaxed geometry.

Output
symmetry: R-3m, No. 166
energy relative to the elements: -0.1941 eV per atom
ΔE to the lowest computed polymorph: 0.0083 eV/atom
total magnetization: 0.0 μB per cell

a = 4.5741 Å, b = 4.5741 Å, c = 5.4872 Å
α = 65.37°, β = 65.37°, γ = 60.00°
Last column: nearest neighbours and their distance in Å.
Positions (direct):
Tc (0.0000, 0.0000, 0.0000)  6 Sn 2.79
Tm (0.5000, 0.5000, 0.5000)  8 Sn 3.03-3.32
Sn (0.2702, 0.2702, 0.1894)  3 Tc 2.79, 3 Tm 3.03
Sn (0.7298, 0.7298, 0.8106)  3 Tc 2.79, 3 Tm 3.03